An optimized crystal structure of LuCuSe2, computed with PBEsol.

Values from the calculation:
Uncorrected formation energy (eV per atom): -1.19
SG: P3m1

Unit cell a=3.9764 b=3.9764 c=6.2574 alpha=90.00 beta=90.00 gamma=120.00
With the nearest neighbours (Å) after each atom.
Positions (direct):
Lu 0.0000 0.0000 0.1984  6 Se 2.73-2.85
Cu 0.3333 0.6667 0.8184  4 Se 2.40
Se 0.6667 0.3333 0.9293  3 Cu 2.40
Se 0.3333 0.6667 0.4347  1 Cu 2.40

An optimized crystal structure of Lu3Tl2Cu5Se8, computed with PBEsol.

Values from the calculation:
Uncorrected formation energy (eV per atom): -0.90
SG: Cm

Unit cell a=3.9875 b=7.2858 c=13.7640 alpha=79.84 beta=81.67 gamma=74.12
With the nearest neighbours (Å) after each atom.
Positions (direct):
Se 0.0517 0.5006 0.3961  3 Cu 2.45-2.57
Cu 0.5866 0.0838 0.7431  4 Se 2.41-2.51, 1 Cu 2.59
Se 0.5765 0.6825 0.1644  3 Cu 2.42-2.46
Cu 0.6521 0.2970 0.3988  4 Se 2.44-2.54
Se 0.9861 0.2302 0.7976  2 Cu 2.41
Cu 0.7837 0.7560 0.6766  4 Se 2.42-2.53, 1 Cu 2.59
Se 0.6897 0.7657 0.8549  3 Cu 2.44-2.58
Se 0.3284 0.3282 0.0151  2 Cu 2.43, 1 Lu 2.71
Se 0.3852 0.6097 0.6198  2 Cu 2.42
Cu 0.9849 0.7791 0.2511  4 Se 2.40-2.57
Se 0.6800 0.0761 0.5639  3 Cu 2.45-2.54
Cu 0.7287 0.5255 0.0171  4 Se 2.42-2.58
Tl 0.3553 0.8762 0.4133  2 Cu 3.12, 7 Se 3.14-3.34
Lu 0.0343 0.3375 0.5939  6 Se 2.77-2.82
Lu 0.3352 0.5052 0.8243  6 Se 2.71-2.83
Lu 0.2014 0.3889 0.2083  6 Se 2.73-2.87, 1 Cu 2.88
Se 0.8115 0.1205 0.2564  2 Cu 2.40-2.44
Tl 0.0108 0.9660 0.0124  7 Se 3.23-3.38, 1 Cu 3.32

An optimized crystal structure of Lu3Cu4Si4, computed with PBEsol.

Values from the calculation:
Uncorrected formation energy (eV per atom): -0.65
DOS(E_F) (states/eV/f.u.): 4.55
SG: Immm

Unit cell a=3.7984 b=3.9449 c=12.1107 alpha=99.37 beta=99.02 gamma=90.00
With the nearest neighbours (Å) after each atom.
Positions (direct):
Lu 0.5000 0.0000 0.0000  4 Cu 2.95, 8 Si 2.98
Si 0.8081 0.8081 0.6162  5 Cu 2.27-2.38
Si 0.9505 0.4505 0.9011  2 Cu 2.25, 1 Si 2.33
Cu 0.0957 0.0957 0.1914  3 Si 2.25-2.27
Si 0.0495 0.5495 0.0989  2 Cu 2.25, 1 Si 2.33
Lu 0.6485 0.6485 0.2970  6 Si 2.92-3.01, 8 Cu 3.01-3.13
Cu 0.7513 0.2513 0.5026  4 Si 2.36-2.38
Si 0.1919 0.1919 0.3838  5 Cu 2.27-2.38
Cu 0.2487 0.7487 0.4974  4 Si 2.36-2.38
Lu 0.3515 0.3515 0.7030  6 Si 2.92-3.01, 8 Cu 3.01-3.13
Cu 0.9043 0.9043 0.8086  3 Si 2.25-2.27

An optimized crystal structure of LuCu2Si2, computed with PBEsol.

Values from the calculation:
Uncorrected formation energy (eV per atom): -0.61
DOS(E_F) (states/eV/f.u.): 1.09
SG: I4/mmm

Unit cell a=3.8629 b=3.8629 c=5.6524 alpha=109.98 beta=109.98 gamma=90.00
With the nearest neighbours (Å) after each atom.
Positions (direct):
Lu 0.0000 0.0000 0.0000  8 Si 2.96, 8 Cu 3.14
Si 0.6163 0.6163 0.2326  1 Si 2.30, 4 Cu 2.34
Cu 0.7500 0.2500 0.5000  4 Si 2.34
Si 0.3837 0.3837 0.7674  1 Si 2.30, 4 Cu 2.34
Cu 0.2500 0.7500 0.5000  4 Si 2.34

An optimized crystal structure of LuCuSn, computed with PBEsol.

Values from the calculation:
DOS(E_F) (states/eV/f.u.): 1.49
DFT formation energy (eV/atom): -0.54
SG: P6_3/mmc

Unit cell a=4.4359 b=4.4359 c=6.9746 alpha=90.00 beta=90.00 gamma=120.00
With the nearest neighbours (Å) after each atom.
Positions (direct):
Sn 0.6667 0.3333 0.2500  3 Cu 2.56
Cu 0.6667 0.3333 0.7500  3 Sn 2.56
Lu 0.0000 0.0000 0.0000  6 Sn 3.10, 6 Cu 3.10
Cu 0.3333 0.6667 0.2500  3 Sn 2.56
Lu 0.0000 0.0000 0.5000  6 Cu 3.10, 6 Sn 3.10
Sn 0.3333 0.6667 0.7500  3 Cu 2.56

An optimized crystal structure of Lu3Cu4Sn4, computed with PBEsol.

Values from the calculation:
DOS(E_F) (states/eV/f.u.): 2.53
DFT formation energy (eV/atom): -0.49
SG: C2/m

Unit cell a=4.3227 b=6.8087 c=8.1283 alpha=112.99 beta=105.42 gamma=90.00
With the nearest neighbours (Å) after each atom.
Positions (direct):
Sn 0.2187 0.1900 0.4375  6 Cu 2.58-2.72
Cu 0.6927 0.3902 0.3854  4 Sn 2.59-2.67, 3 Cu 2.62-2.82
Cu 0.3073 0.6098 0.6146  4 Sn 2.59-2.67, 3 Cu 2.62-2.82
Sn 0.7813 0.8100 0.5625  6 Cu 2.58-2.72
Lu 0.0000 0.0000 0.0000  6 Sn 2.97-3.14, 4 Cu 3.24
Sn 0.5169 0.3121 0.0338  2 Cu 2.56-2.59, 1 Sn 2.82
Lu 0.8715 0.3496 0.7430  5 Cu 2.92-3.20, 6 Sn 3.08-3.22
Cu 0.6500 0.9765 0.2999  4 Sn 2.56-2.72, 1 Cu 2.62
Sn 0.4831 0.6879 0.9662  2 Cu 2.56-2.59, 1 Sn 2.82
Lu 0.1285 0.6504 0.2570  5 Cu 2.92-3.20, 6 Sn 3.08-3.22
Cu 0.3500 0.0235 0.7001  4 Sn 2.56-2.72, 1 Cu 2.62